Density functional theory data (GGA-PBE) for a relaxed structure of Tb3Nd5Ho2.

Cell: 11.0585 11.0585 11.0585 Å, 113.00 77.39 145.84°
Closest atoms and distances in Å follow each position.
Fractional positions:
Tb1 0.1697 0.7394 0.9091  3 Nd 3.35-3.36, 3 Ho 3.46-3.71
Tb2 0.2500 0.2500 0.0000  2 Nd 3.03, 2 Tb 3.25
Tb3 0.3303 0.2394 0.5697  3 Nd 3.35-3.36, 3 Ho 3.46-3.71
Tb4 0.6697 0.7606 0.4303  3 Nd 3.35-3.36, 3 Ho 3.46-3.71
Tb5 0.7500 0.7500 0.0000  2 Nd 3.03, 2 Tb 3.25
Tb6 0.8303 0.2606 0.0909  3 Nd 3.35-3.36, 3 Ho 3.46-3.71
Nd1 0.1688 0.0854 0.2542  3 Tb 3.36-3.50, 1 Ho 3.55
Nd2 0.2500 0.0020 0.7520  3 Tb 3.03-3.35, 3 Nd 3.08-3.25
Nd3 0.2500 0.4980 0.2480  3 Tb 3.03-3.35, 3 Nd 3.08-3.25
Nd4 0.2500 0.7500 0.5000  4 Nd 3.08-3.25
Nd5 0.3312 0.5854 0.9165  3 Tb 3.36-3.50, 1 Ho 3.55
Nd6 0.6688 0.4146 0.0835  3 Tb 3.36-3.50, 1 Ho 3.55
Nd7 0.7500 0.2500 0.5000  4 Nd 3.08-3.25
Nd8 0.7500 0.5020 0.7520  3 Tb 3.03-3.35, 3 Nd 3.08-3.25
Nd9 0.7500 0.9980 0.2480  3 Tb 3.03-3.35, 3 Nd 3.08-3.25
Nd10 0.8312 0.9146 0.7458  3 Tb 3.36-3.50, 1 Ho 3.55
Ho1 0.1688 0.4073 0.5761  3 Tb 3.46-3.71, 5 Nd 3.52-3.86
Ho2 0.3312 0.9073 0.2386  3 Tb 3.46-3.71, 5 Nd 3.52-3.86
Ho3 0.6688 0.0927 0.7614  3 Tb 3.46-3.71, 5 Nd 3.52-3.86
Ho4 0.8312 0.5927 0.4239  3 Tb 3.46-3.71, 5 Nd 3.52-3.86

SG: Ibam, No. 72
Excess energy over the best structure of this formula in the dataset in meV per atom: 117.2
Formation enthalpy at 0 K in meV/atom: 296
Magnetization in μB/f.u.: 0.0

Density functional theory data (GGA-PBE) for a relaxed structure of Nd7Dy4Tm.

Cell: 6.3250 7.2881 9.0017 Å, 89.96 76.49 89.98°
Closest atoms and distances in Å follow each position.
Fractional positions:
Nd1 0.0000 0.0000 0.0000  4 Dy 3.58-3.61, 6 Nd 3.60-3.65, 2 Tm 3.64
Nd2 0.2210 0.5001 0.3346  6 Nd 3.58-3.66, 1 Tm 3.60, 5 Dy 3.61-3.66
Nd3 0.2791 0.7508 0.6667  6 Dy 3.58-3.66, 5 Nd 3.60-3.66, 1 Tm 3.60
Nd4 0.4987 0.2485 0.9988  3 Dy 3.57-3.61, 7 Nd 3.61-3.67, 2 Tm 3.65-3.67
Nd5 0.5013 0.7515 0.0012  3 Dy 3.57-3.61, 7 Nd 3.61-3.67, 2 Tm 3.65-3.67
Nd6 0.7209 0.2492 0.3333  6 Dy 3.58-3.66, 5 Nd 3.60-3.66, 1 Tm 3.60
Nd7 0.7790 0.4999 0.6654  6 Nd 3.58-3.66, 1 Tm 3.60, 5 Dy 3.61-3.66
Dy1 0.2209 0.9997 0.3354  4 Dy 3.57-3.64, 8 Nd 3.58-3.65
Dy2 0.2776 0.2482 0.6682  8 Nd 3.57-3.66, 3 Dy 3.59-3.64, 1 Tm 3.60
Dy3 0.7224 0.7518 0.3318  8 Nd 3.57-3.66, 3 Dy 3.59-3.64, 1 Tm 3.60
Dy4 0.7791 0.0003 0.6646  4 Dy 3.57-3.64, 8 Nd 3.58-3.65
Tm1 0.0000 0.5000 0.0000  2 Dy 3.60, 10 Nd 3.60-3.67

SG: P-1, No. 2
Excess energy over the best structure of this formula in the dataset in meV per atom: 0.0
Formation enthalpy at 0 K in meV/atom: 7
Magnetization in μB/f.u.: 0.0

Density functional theory data (GGA-PBE) for a relaxed structure of CsSrYI6.

Cell: 8.2925 8.2925 16.7648 Å, 90.00 90.00 120.00°
Closest atoms and distances in Å follow each position.
Fractional positions:
Cs1 0.0000 0.0000 0.0000  6 I 3.91
Cs2 0.0000 0.0000 0.5000  6 I 3.91
Sr1 0.3333 0.6667 0.2500  6 I 3.30
Sr2 0.6667 0.3333 0.7500  6 I 3.30
Y1 0.3333 0.6667 0.7500  6 I 3.06
Y2 0.6667 0.3333 0.2500  6 I 3.06
I1 0.0224 0.3852 0.6421  1 Y 3.06, 1 Sr 3.30
I2 0.0224 0.6372 0.8579  1 Y 3.06, 1 Sr 3.30
I3 0.3628 0.3852 0.8579  1 Y 3.06, 1 Sr 3.30
I4 0.3628 0.9776 0.6421  1 Y 3.06, 1 Sr 3.30
I5 0.3852 0.0224 0.1421  1 Y 3.06, 1 Sr 3.30
I6 0.3852 0.3628 0.3579  1 Y 3.06, 1 Sr 3.30
I7 0.6148 0.6372 0.6421  1 Y 3.06, 1 Sr 3.30
I8 0.6148 0.9776 0.8579  1 Y 3.06, 1 Sr 3.30
I9 0.6372 0.0224 0.3579  1 Y 3.06, 1 Sr 3.30
I10 0.6372 0.6148 0.1421  1 Y 3.06, 1 Sr 3.30
I11 0.9776 0.3628 0.1421  1 Y 3.06, 1 Sr 3.30
I12 0.9776 0.6148 0.3579  1 Y 3.06, 1 Sr 3.30

SG: P-31c, No. 163
Formation energy without anion corrections in meV/atom: -1554.3
Magnetization in μB/f.u.: 0.0

Density functional theory data (GGA-PBE) for a relaxed structure of CaCrPd.

Cell: 3.9139 5.7645 5.7730 Å, 82.96 70.97 85.92°
Closest atoms and distances in Å follow each position.
Fractional positions:
Ca1 0.0000 0.0000 0.0000  5 Pd 3.07-3.14, 4 Cr 3.18-3.40
Ca2 0.3819 0.4727 0.1999  5 Cr 2.98-3.30, 4 Pd 3.06-3.24
Cr1 0.0745 0.5382 0.7343  1 Cr 1.84
Cr2 0.7270 0.7124 0.6332  1 Cr 1.84
Pd1 0.2905 0.9586 0.4375  3 Cr 2.57-2.80, 2 Pd 2.78-2.81
Pd2 0.6706 0.2480 0.6114  3 Cr 2.68-2.72, 2 Pd 2.78-2.81

SG: P1, No. 1
Excess energy over the best structure of this formula in the dataset in meV per atom: 149.2
Formation enthalpy at 0 K in meV/atom: 61
Magnetization in μB/f.u.: 0.0

Number 1: calculated total energy -4.392 eV/atom. Number 2: calculated total energy -4.681 eV/atom. Number 3: calculated total energy -3.588 eV/atom. Number 4: calculated total energy -5.545 eV/atom.